Entry 1:
# SrLiBi

SrLiBi at its PBEsol-relaxed geometry (SCAN, Alexandria).

Output
**Uncorrected energy**: -1.298 hartree per atom
**Formation energy from the elements**: -0.92 eV/atom

Cell lengths 8.0905, 4.8837, 8.5635 Å; angles 90.00, 90.00, 90.00 degrees
Closest atoms and distances in Å follow each position.
Fractional coordinates of all 12 atoms:
Sr (0.0034, 0.2500, 0.2069)  4 Li 3.34-3.69, 5 Bi 3.40-3.47
Sr (0.4966, 0.7500, 0.7069)  4 Li 3.34-3.69, 5 Bi 3.40-3.47
Sr (0.5034, 0.2500, 0.2931)  4 Li 3.34-3.69, 5 Bi 3.40-3.47
Sr (0.9966, 0.7500, 0.7931)  4 Li 3.34-3.69, 5 Bi 3.40-3.47
Li (0.1591, 0.2500, 0.5757)  4 Bi 2.89-3.09
Li (0.3409, 0.7500, 0.0757)  4 Bi 2.89-3.09
Li (0.6591, 0.2500, 0.9243)  4 Bi 2.89-3.09
Li (0.8409, 0.7500, 0.4243)  4 Bi 2.89-3.09
Bi (0.2228, 0.7500, 0.4059)  4 Li 2.89-3.09
Bi (0.2772, 0.2500, 0.9059)  4 Li 2.89-3.09
Bi (0.7228, 0.7500, 0.0941)  4 Li 2.89-3.09
Bi (0.7772, 0.2500, 0.5941)  4 Li 2.89-3.09



Entry 2:
# Al3Fe2Si3

Al3Fe2Si3 at its PBEsol-relaxed geometry (SCAN, Alexandria).

Output
**Energy relative to the elements, uncorrected**: -0.279 eV per atom
**Uncorrected energy**: -0.422 hartree per atom

Cell lengths 7.0576, 8.2445, 15.5129 Å; angles 90.00, 113.28, 90.00 degrees
Closest atoms and distances in Å follow each position.
Fractional coordinates of all 64 atoms:
Al (0.0073, 0.0487, 0.3317)  2 Fe 2.38-2.46, 1 Si 2.52
Al (0.0073, 0.4513, 0.8317)  2 Fe 2.38-2.46, 1 Si 2.52
Al (0.0091, 0.7050, 0.3227)  2 Fe 2.37-2.51, 1 Si 2.49
Al (0.0091, 0.7950, 0.8227)  2 Fe 2.37-2.51, 1 Si 2.49
Al (0.1235, 0.6231, 0.6757)  5 Si 2.49-2.69, 3 Fe 2.51-2.56
Al (0.1235, 0.8769, 0.1757)  5 Si 2.49-2.69, 3 Fe 2.51-2.56
Al (0.3968, 0.6140, 0.4443)  4 Fe 2.50-2.63, 4 Si 2.55-2.61, 3 Al 2.58-2.74
Al (0.3968, 0.8860, 0.9443)  4 Fe 2.50-2.63, 4 Si 2.55-2.61, 3 Al 2.58-2.74
Al (0.3994, 0.1367, 0.4502)  4 Fe 2.50-2.64, 4 Si 2.57-2.66, 3 Al 2.67-2.78
Al (0.3994, 0.3633, 0.9502)  4 Fe 2.50-2.64, 4 Si 2.57-2.66, 3 Al 2.67-2.78
Al (0.4223, 0.1225, 0.7208)  4 Fe 2.46-2.63, 4 Si 2.48-2.63
Al (0.4223, 0.3775, 0.2208)  4 Fe 2.46-2.63, 4 Si 2.48-2.63
Al (0.5777, 0.6225, 0.7792)  4 Fe 2.46-2.63, 4 Si 2.48-2.63
Al (0.5777, 0.8775, 0.2792)  4 Fe 2.46-2.63, 4 Si 2.48-2.63
Al (0.6006, 0.6367, 0.0498)  4 Fe 2.50-2.64, 4 Si 2.57-2.66, 3 Al 2.67-2.78
Al (0.6006, 0.8633, 0.5498)  4 Fe 2.50-2.64, 4 Si 2.57-2.66, 3 Al 2.67-2.78
Al (0.6032, 0.1140, 0.0557)  4 Fe 2.50-2.63, 4 Si 2.55-2.61, 3 Al 2.58-2.74
Al (0.6032, 0.3860, 0.5557)  4 Fe 2.50-2.63, 4 Si 2.55-2.61, 3 Al 2.58-2.74
Al (0.8765, 0.1231, 0.8243)  5 Si 2.49-2.69, 3 Fe 2.51-2.56
Al (0.8765, 0.3769, 0.3243)  5 Si 2.49-2.69, 3 Fe 2.51-2.56
Al (0.9909, 0.2050, 0.1773)  2 Fe 2.37-2.51, 1 Si 2.49
Al (0.9909, 0.2950, 0.6773)  2 Fe 2.37-2.51, 1 Si 2.49
Al (0.9927, 0.5487, 0.1683)  2 Fe 2.38-2.46, 1 Si 2.52
Al (0.9927, 0.9513, 0.6683)  2 Fe 2.38-2.46, 1 Si 2.52
Fe (0.2023, 0.6268, 0.9655)  5 Si 2.25-2.42, 2 Al 2.46-2.51
Fe (0.2023, 0.8732, 0.4655)  5 Si 2.25-2.42, 2 Al 2.46-2.51
Fe (0.2033, 0.1237, 0.9692)  5 Si 2.25-2.45, 3 Al 2.50-2.51
Fe (0.2033, 0.3763, 0.4692)  5 Si 2.25-2.45, 3 Al 2.50-2.51
Fe (0.3265, 0.6366, 0.2712)  4 Si 2.29-2.49, 4 Al 2.38-2.55
Fe (0.3265, 0.8634, 0.7712)  4 Si 2.29-2.49, 4 Al 2.38-2.55
Fe (0.3296, 0.1171, 0.2727)  4 Si 2.28-2.47, 2 Al 2.37-2.47
Fe (0.3296, 0.3829, 0.7727)  4 Si 2.28-2.47, 2 Al 2.37-2.47
Fe (0.6704, 0.6171, 0.2273)  4 Si 2.28-2.47, 2 Al 2.37-2.47
Fe (0.6704, 0.8829, 0.7273)  4 Si 2.28-2.47, 2 Al 2.37-2.47
Fe (0.6735, 0.1366, 0.2288)  4 Si 2.29-2.49, 4 Al 2.38-2.55
Fe (0.6735, 0.3634, 0.7288)  4 Si 2.29-2.49, 4 Al 2.38-2.55
Fe (0.7967, 0.6237, 0.5308)  5 Si 2.25-2.45, 3 Al 2.50-2.51
Fe (0.7967, 0.8763, 0.0308)  5 Si 2.25-2.45, 3 Al 2.50-2.51
Fe (0.7977, 0.1268, 0.5345)  5 Si 2.25-2.42, 2 Al 2.46-2.51
Fe (0.7977, 0.3732, 0.0345)  5 Si 2.25-2.42, 2 Al 2.46-2.51
Si (0.1105, 0.6274, 0.5109)  3 Fe 2.32-2.35, 1 Al 2.52, 2 Si 2.56-2.60
Si (0.1105, 0.8726, 0.0109)  3 Fe 2.32-2.35, 1 Al 2.52, 2 Si 2.56-2.60
Si (0.1384, 0.1212, 0.5334)  3 Fe 2.41-2.45, 2 Si 2.63-2.70, 1 Al 2.64
Si (0.1384, 0.3788, 0.0334)  3 Fe 2.41-2.45, 2 Si 2.63-2.70, 1 Al 2.64
Si (0.2390, 0.1247, 0.8278)  3 Fe 2.30-2.49, 2 Al 2.48-2.54
Si (0.2390, 0.3753, 0.3278)  3 Fe 2.30-2.49, 2 Al 2.48-2.54
Si (0.3168, 0.6218, 0.8490)  3 Fe 2.25-2.34, 4 Al 2.48-2.52
Si (0.3168, 0.8782, 0.3490)  3 Fe 2.25-2.34, 4 Al 2.48-2.52
Si (0.3314, 0.6493, 0.1244)  3 Fe 2.27-2.31
Si (0.3314, 0.8507, 0.6244)  3 Fe 2.27-2.31
Si (0.3322, 0.1061, 0.1265)  3 Fe 2.25-2.32
Si (0.3322, 0.3939, 0.6265)  3 Fe 2.25-2.32
Si (0.6678, 0.6061, 0.3735)  3 Fe 2.25-2.32
Si (0.6678, 0.8939, 0.8735)  3 Fe 2.25-2.32
Si (0.6686, 0.1493, 0.3756)  3 Fe 2.27-2.31
Si (0.6686, 0.3507, 0.8756)  3 Fe 2.27-2.31
Si (0.6832, 0.1218, 0.6510)  3 Fe 2.25-2.34, 4 Al 2.48-2.52
Si (0.6832, 0.3782, 0.1510)  3 Fe 2.25-2.34, 4 Al 2.48-2.52
Si (0.7610, 0.6247, 0.6722)  3 Fe 2.30-2.49, 2 Al 2.48-2.54
Si (0.7610, 0.8753, 0.1722)  3 Fe 2.30-2.49, 2 Al 2.48-2.54
Si (0.8616, 0.6212, 0.9666)  3 Fe 2.41-2.45, 2 Si 2.63-2.70, 1 Al 2.64
Si (0.8616, 0.8788, 0.4666)  3 Fe 2.41-2.45, 2 Si 2.63-2.70, 1 Al 2.64
Si (0.8895, 0.1274, 0.9891)  3 Fe 2.32-2.35, 1 Al 2.52, 2 Si 2.56-2.60
Si (0.8895, 0.3726, 0.4891)  3 Fe 2.32-2.35, 1 Al 2.52, 2 Si 2.56-2.60



Entry 3:
# La2AsBr

La2AsBr at its PBEsol-relaxed geometry (SCAN, Alexandria).

Output
**Energy relative to the elements, uncorrected**: -1.655 eV per atom
**Uncorrected energy**: -1.217 hartree per atom

Cell lengths 4.2778, 4.2778, 6.0364 Å; angles 90.00, 90.00, 90.00 degrees
Closest atoms and distances in Å follow each position.
Fractional coordinates of all 4 atoms:
La (0.0000, 0.0000, 0.0000)  2 As 3.02, 4 Br 3.02
La (0.5000, 0.5000, 0.5000)  2 Br 3.02, 4 As 3.02
As (0.0000, 0.0000, 0.5000)  6 La 3.02
Br (0.5000, 0.5000, 0.0000)  6 La 3.02



Results for V: 28.20 12.96 27.62 (in Å³/atom, following the order of the records).